Density functional theory data (PBE) for a relaxed VCdS2 crystal.

Lattice parameters (Å, degrees): 3.8839 3.8839 22.4409 90.00 90.00 120.00
With the nearest neighbours (Å) after each atom.
Space group R-3m (No. 166, hexagonal axes)
Inequivalent atoms, fractional coordinates:
1 V 0.0000 0.0000 0.0000  2 S 2.24
2 Cd 0.0000 0.0000 0.5000  6 S 2.70
3 S 0.0000 0.0000 0.1000  1 V 2.24

Values from the calculation:
* V: 293.16 Å³ per cell
* mass density: 3.87 g/cm3


Density functional theory data (PBE) for a relaxed VCdS2 crystal.

Lattice parameters (Å, degrees): 3.1611 3.1611 26.5409 90.00 90.00 120.00
With the nearest neighbours (Å) after each atom.
Space group R-3m (No. 166, hexagonal axes)
Inequivalent atoms, fractional coordinates:
1 V 0.0000 0.0000 0.0000  6 S 2.35
2 Cd 0.0000 0.0000 0.5000  2 S 2.95, 6 Cd 3.16
3 S 0.0000 0.0000 0.3890  3 V 2.35

Values from the calculation:
* V: 229.67 Å³ per cell
* mass density: 4.93 g/cm3


Density functional theory data (PBE) for a relaxed VCd3S crystal.

Lattice parameters (Å, degrees): 5.1091 5.1091 5.1091 90.00 90.00 90.00
With the nearest neighbours (Å) after each atom.
Space group Pm-3m (No. 221)
Inequivalent atoms, fractional coordinates:
1 V 0.0000 0.0000 0.0000  12 Cd 3.61
2 Cd 0.0000 0.5000 0.5000  2 S 2.55
3 S 0.5000 0.5000 0.5000  6 Cd 2.55

Values from the calculation:
* V: 133.36 Å³ per cell
* mass density: 5.23 g/cm3
* energy above the most stable polymorph in this dataset: 0.000 eV/atom


Density functional theory data (PBE) for a relaxed V3CdS crystal.

Lattice parameters (Å, degrees): 4.3541 4.3541 4.3541 90.00 90.00 90.00
With the nearest neighbours (Å) after each atom.
Space group Pm-3m (No. 221)
Inequivalent atoms, fractional coordinates:
1 V 0.0000 0.0000 0.5000  2 S 2.18
2 Cd 0.5000 0.5000 0.5000  12 V 3.08
3 S 0.0000 0.0000 0.0000  6 V 2.18

Values from the calculation:
* V: 82.54 Å³ per cell
* mass density: 5.98 g/cm3
* energy above the most stable polymorph in this dataset: 0.000 eV/atom


Density functional theory data (PBE) for a relaxed V4CdS8 crystal.

Lattice parameters (Å, degrees): 11.3239 6.6137 8.0433 90.00 124.88 90.00
With the nearest neighbours (Å) after each atom.
Space group C2/m (No. 12)
Inequivalent atoms, fractional coordinates:
1 V 0.0000 0.2052 0.0000  6 S 2.31-2.46
2 V 0.2302 0.0000 0.9918  6 S 2.31-2.46
3 Cd 0.0000 0.5000 0.5000  2 S 2.52
4 S 0.0053 0.5000 0.8176  3 V 2.46, 1 Cd 2.52
5 S 0.0161 0.0000 0.2447  3 V 2.31
6 S 0.2456 0.2514 0.7840  3 V 2.34-2.43

Values from the calculation:
* V: 494.16 Å³ per cell
* mass density: 3.85 g/cm3
* energy above the most stable polymorph in this dataset: 0.000 eV/atom


Density functional theory data (PBE) for a relaxed VCd3S crystal.

Lattice parameters (Å, degrees): 5.3399 5.3399 5.3399 90.00 90.00 90.00
With the nearest neighbours (Å) after each atom.
Space group Pm-3m (No. 221)
Inequivalent atoms, fractional coordinates:
1 V 0.0000 0.0000 0.0000  6 Cd 2.67
2 Cd 0.0000 0.0000 0.5000  2 V 2.67
3 S 0.5000 0.5000 0.5000  12 Cd 3.78

Values from the calculation:
* V: 152.26 Å³ per cell
* mass density: 4.58 g/cm3
* energy above the most stable polymorph in this dataset: 0.162 eV/atom


Density functional theory data (PBE) for a relaxed V2CdWS crystal.

Lattice parameters (Å, degrees): 4.6219 4.6219 5.2838 90.00 90.00 90.00
With the nearest neighbours (Å) after each atom.
Space group P4/mmm (No. 123)
Inequivalent atoms, fractional coordinates:
1 V 0.0000 0.5000 0.0000  2 W 2.31
2 Cd 0.0000 0.0000 0.5000  2 W 2.64
3 W 0.0000 0.0000 0.0000  4 V 2.31
4 S 0.5000 0.5000 0.5000  4 Cd 3.27, 8 V 3.51

Values from the calculation:
* V: 112.87 Å³ per cell
* mass density: 6.33 g/cm3


Density functional theory data (PBE) for a relaxed CdW2S crystal.

Lattice parameters (Å, degrees): 6.3414 6.3414 6.3414 90.00 90.00 90.00
With the nearest neighbours (Å) after each atom.
Space group Fm-3m (No. 225)
Inequivalent atoms, fractional coordinates:
1 Cd 0.0000 0.0000 0.0000  8 W 2.75
2 W 0.2500 0.2500 0.2500  4 S 2.75, 4 Cd 2.75
3 S 0.0000 0.0000 0.5000  8 W 2.75

Values from the calculation:
* V: 255.01 Å³ per cell
* mass density: 13.34 g/cm3
* energy above the most stable polymorph in this dataset: 0.106 eV/atom


Which DOS at the Fermi energy belongs to each record? In order, 0.85, 0.72, 0.72, 0.76, 0.53, 1.59, 1.23, 1.35 states/eV per atom.
Which formation energy from raw total energies belongs to each record? In order, -0.006, -0.666, 0.797, 0.062, -0.827, 0.958, 1.462, 0.988 eV/atom.